[1]
VASP calculation (GGA-PBE) on LiAc3Nd2Se6 after structural relaxation.

The value obtained for the uncorrected formation energy is -1796 meV/atom. As for the total magnetization: 0.00 μB/atom. As for the electronic total energy: -5.52 eV/atom. The density is 7.0 g/cm3.

The space group is C2/m (No. 12) and the conventional cell measures 7.5085, 13.0554 and 7.4384 Å, with angles of 90.00, 109.88 and 90.00 degrees. The inequivalent atoms are Li at (0.0000, 0.0000, 0.0000), Ac at (0.0000, 0.1685, 0.5000), Ac at (0.0000, 0.5000, 0.5000), Nd at (0.0000, 0.3344, 0.0000), Se at (0.2373, 0.1615, 0.2289) and Se at (0.2452, 0.0000, 0.7699).

---

[2]
VASP calculation (GGA-PBE) on LiAcNdSe3 after structural relaxation.

The value obtained for the uncorrected formation energy is -1735 meV/atom. As for the total magnetization: 0.00 μB/atom. As for the electronic total energy: -5.28 eV/atom. The density is 6.2 g/cm3.

The space group is P2_1/m (No. 11) and the conventional cell measures 8.8524, 4.1864 and 9.1412 Å, with angles of 90.00, 103.22 and 90.00 degrees. The inequivalent atoms are Li at (0.0873, 0.2500, 0.0878), Ac at (0.1841, 0.2500, 0.7258), Nd at (0.3387, 0.7500, 0.3408), Se at (0.0986, 0.2500, 0.3675), Se at (0.2074, 0.7500, 0.0029) and Se at (0.4295, 0.7500, 0.6788).

---

[3]
VASP calculation (GGA-PBE) on LiAc3Nd3Se8 after structural relaxation.

The value obtained for the uncorrected formation energy is -1828 meV/atom. As for the total magnetization: 0.00 μB/atom. As for the electronic total energy: -5.59 eV/atom. The density is 6.4 g/cm3.

The space group is R-3m (No. 166, hexagonal axes) and the conventional cell measures 8.5833, 8.5833 and 21.3398 Å, with angles of 90.00, 90.00 and 120.00 degrees. The inequivalent atoms are Li at (0.0000, 0.0000, 0.0000), Ac at (0.0000, 0.5000, 0.5000), Nd at (0.0000, 0.5000, 0.0000), Se at (0.0000, 0.0000, 0.2551) and Se at (0.0046, 0.5023, 0.7442).

---

[4]
VASP calculation (GGA-PBE) on Li2AcNdSe4 after structural relaxation.

The value obtained for the uncorrected formation energy is -1665 meV/atom. As for the total magnetization: 0.00 μB/atom. As for the electronic total energy: -5.00 eV/atom. The density is 5.5 g/cm3.

The space group is P2/m (No. 10) and the conventional cell measures 7.0152, 4.3244 and 7.5072 Å, with angles of 90.00, 110.90 and 90.00 degrees. The inequivalent atoms are Li at (0.0000, 0.0000, 0.0000), Li at (0.0000, 0.5000, 0.5000), Ac at (0.5000, 0.0000, 0.5000), Nd at (0.5000, 0.5000, 0.0000), Se at (0.2351, 0.5000, 0.2340) and Se at (0.2394, 0.0000, 0.7560).

---

[5]
VASP calculation (GGA-PBE) on Li2AcNd2Si2 after structural relaxation.

The value obtained for the uncorrected formation energy is -370 meV/atom. As for the total magnetization: 0.00 μB/atom. As for the electronic total energy: -4.42 eV/atom. The density is 5.6 g/cm3.

The space group is R-3m (No. 166, hexagonal axes) and the conventional cell measures 4.6202, 4.6202 and 28.2780 Å, with angles of 90.00, 90.00 and 120.00 degrees. The inequivalent atoms are Li at (0.0000, 0.0000, 0.0891), Ac at (0.0000, 0.0000, 0.5000), Nd at (0.0000, 0.0000, 0.3699) and Si at (0.0000, 0.0000, 0.2436).

---

[6]
VASP calculation (GGA-PBE) on Li3Ac2NdSn4 after structural relaxation.

As for the total magnetization: 0.00 μB/atom. As for the electronic total energy: -4.07 eV/atom. The value obtained for the formation energy is -0.592 eV/atom. The density is 6.5 g/cm3.

The space group is P-4m2 (No. 115) and the conventional cell measures 4.7454, 4.7454 and 12.3251 Å, with angles of 90.00, 90.00 and 90.00 degrees. The inequivalent atoms are Li at (0.0000, 0.0000, 0.0000), Li at (0.0000, 0.5000, 0.6202), Ac at (0.0000, 0.5000, 0.2770), Nd at (0.5000, 0.5000, 0.0000), Sn at (0.0000, 0.0000, 0.5000), Sn at (0.0000, 0.5000, 0.8392) and Sn at (0.5000, 0.5000, 0.5000).

---

[7]
VASP calculation (GGA-PBE) on SrLiAcNd after structural relaxation.

As for the total magnetization: 0.00 μB/atom. As for the electronic total energy: -2.86 eV/atom. The value obtained for the formation energy is 0.259 eV/atom. The density is 4.9 g/cm3.

The space group is F-43m (No. 216) and the conventional cell measures 8.5560, 8.5560 and 8.5560 Å, with angles of 90.00, 90.00 and 90.00 degrees. The inequivalent atoms are Sr at (0.0000, 0.0000, 0.0000), Li at (0.2500, 0.2500, 0.7500), Ac at (0.2500, 0.2500, 0.2500) and Nd at (0.0000, 0.0000, 0.5000).

---

[8]
VASP calculation (GGA-PBE) on LiAcTbNd after structural relaxation.

As for the total magnetization: 0.00 μB/atom. As for the electronic total energy: -3.62 eV/atom. The value obtained for the formation energy is 0.240 eV/atom. The density is 6.6 g/cm3.

The space group is F-43m (No. 216) and the conventional cell measures 8.1606, 8.1606 and 8.1606 Å, with angles of 90.00, 90.00 and 90.00 degrees. The inequivalent atoms are Li at (0.0000, 0.0000, 0.0000), Ac at (0.0000, 0.0000, 0.5000), Tb at (0.2500, 0.2500, 0.7500) and Nd at (0.2500, 0.2500, 0.2500).

---

[9]
VASP calculation (GGA-PBE) on LiAc2Nd3Te6 after structural relaxation.

The value obtained for the uncorrected formation energy is -1413 meV/atom. As for the total magnetization: 0.00 μB/atom. As for the electronic total energy: -5.02 eV/atom. The density is 6.8 g/cm3.

The space group is C2/m (No. 12) and the conventional cell measures 7.8463, 13.6453 and 7.9780 Å, with angles of 90.00, 109.45 and 90.00 degrees. The inequivalent atoms are Li at (0.0000, 0.0000, 0.0000), Ac at (0.0000, 0.3356, 0.0000), Nd at (0.0000, 0.1730, 0.5000), Nd at (0.0000, 0.5000, 0.5000), Te at (0.2295, 0.0000, 0.7427) and Te at (0.2404, 0.1579, 0.2514).

---

[10]
VASP calculation (GGA-PBE) on LiAc3Nd2Te6 after structural relaxation.

The value obtained for the uncorrected formation energy is -1430 meV/atom. As for the total magnetization: 0.00 μB/atom. As for the electronic total energy: -4.98 eV/atom. The density is 7.0 g/cm3.

The space group is C2/m (No. 12) and the conventional cell measures 19.9940, 4.6190 and 9.1483 Å, with angles of 90.00, 102.34 and 90.00 degrees. The inequivalent atoms are Li at (0.0000, 0.0000, 0.0000), Ac at (0.0000, 0.0000, 0.5000), Ac at (0.1669, 0.5000, 0.8352), Nd at (0.1695, 0.5000, 0.3426), Te at (0.0040, 0.5000, 0.2332), Te at (0.1594, 0.0000, 0.0925) and Te at (0.1682, 0.0000, 0.5796).

---

[11]
VASP calculation (GGA-PBE) on Li2AcNdTe4 after structural relaxation.

The value obtained for the uncorrected formation energy is -1200 meV/atom. As for the total magnetization: 0.00 μB/atom. As for the electronic total energy: -4.36 eV/atom. The density is 5.7 g/cm3.

The space group is I-42m (No. 121) and the conventional cell measures 7.7907, 7.7907 and 8.6325 Å, with angles of 90.00, 90.00 and 90.00 degrees. The inequivalent atoms are Li at (0.0000, 0.5000, 0.2500), Ac at (0.0000, 0.0000, 0.0000), Nd at (0.0000, 0.0000, 0.5000) and Te at (0.2342, 0.2342, 0.6942).

---

[12]
VASP calculation (GGA-PBE) on LiAcNd2Te4 after structural relaxation.

The value obtained for the uncorrected formation energy is -1385 meV/atom. As for the total magnetization: 0.00 μB/atom. As for the electronic total energy: -4.90 eV/atom. The density is 6.5 g/cm3.

The space group is P2/m (No. 10) and the conventional cell measures 7.7739, 4.5244 and 7.9959 Å, with angles of 90.00, 109.15 and 90.00 degrees. The inequivalent atoms are Li at (0.0000, 0.0000, 0.0000), Ac at (0.5000, 0.5000, 0.0000), Nd at (0.0000, 0.5000, 0.5000), Nd at (0.5000, 0.0000, 0.5000), Te at (0.2357, 0.0000, 0.7453) and Te at (0.2387, 0.5000, 0.2480).

---

[13]
VASP calculation (GGA-PBE) on LiAc2NdTe5 after structural relaxation.

The value obtained for the uncorrected formation energy is -1450 meV/atom. As for the total magnetization: 0.00 μB/atom. As for the electronic total energy: -4.85 eV/atom. The density is 6.8 g/cm3.

The space group is Cmc2_1 (No. 36) and the conventional cell measures 4.6192, 19.4204 and 13.5988 Å, with angles of 90.00, 90.00 and 90.00 degrees. The inequivalent atoms are Li at (0.0000, 0.0559, 0.0000), Ac at (0.0000, 0.3756, 0.8415), Ac at (0.0000, 0.3928, 0.2215), Nd at (0.0000, 0.3018, 0.5451), Te at (0.0000, 0.0007, 0.3181), Te at (0.0000, 0.1376, 0.5363), Te at (0.0000, 0.1887, 0.8842), Te at (0.0000, 0.2142, 0.2048) and Te at (0.0000, 0.4529, 0.6027).

---

[14]
VASP calculation (GGA-PBE) on LiAc2NdTl4 after structural relaxation.

As for the total magnetization: 0.00 μB/atom. As for the electronic total energy: -3.37 eV/atom. The value obtained for the formation energy is -0.326 eV/atom. The density is 9.4 g/cm3.

The space group is R-3m (No. 166, hexagonal axes) and the conventional cell measures 5.5464, 5.5464 and 28.3826 Å, with angles of 90.00, 90.00 and 120.00 degrees. The inequivalent atoms are Li at (0.0000, 0.0000, 0.0000), Ac at (0.0000, 0.0000, 0.2557), Nd at (0.0000, 0.0000, 0.5000), Tl at (0.0000, 0.0000, 0.1255) and Tl at (0.0000, 0.0000, 0.3736).

---

[15]
VASP calculation (GGA-PBE) on LiAcNdTl after structural relaxation.

As for the total magnetization: 0.00 μB/atom. As for the electronic total energy: -3.46 eV/atom. The value obtained for the formation energy is -0.169 eV/atom. The density is 7.8 g/cm3. The excess energy over the best structure of this formula in the dataset comes out at 0.0040 eV per atom.

The space group is Pmmm (No. 47) and the conventional cell measures 4.4563, 5.1935 and 5.3577 Å, with angles of 90.00, 90.00 and 90.00 degrees. The inequivalent atoms are Li at (0.0000, 0.0000, 0.0000), Ac at (0.5000, 0.5000, 0.0000), Nd at (0.5000, 0.0000, 0.5000) and Tl at (0.0000, 0.5000, 0.5000).

---

[16]
VASP calculation (GGA-PBE) on Li2AcNdTl2 after structural relaxation.

As for the total magnetization: 0.00 μB/atom. As for the electronic total energy: -3.18 eV/atom. The value obtained for the formation energy is -0.277 eV/atom. The density is 8.0 g/cm3.

The space group is P-3m1 (No. 164) and the conventional cell measures 5.1237, 5.1237 and 7.2282 Å, with angles of 90.00, 90.00 and 120.00 degrees. The inequivalent atoms are Li at (0.3333, 0.6667, 0.2221), Ac at (0.0000, 0.0000, 0.5000), Nd at (0.0000, 0.0000, 0.0000) and Tl at (0.3333, 0.6667, 0.7729).

---

[17]
VASP calculation (GGA-PBE) on Li2AcNd2Tl2 after structural relaxation.

As for the total magnetization: 0.00 μB/atom. As for the electronic total energy: -3.38 eV/atom. The value obtained for the formation energy is -0.211 eV/atom. The density is 7.6 g/cm3.

The space group is R-3m (No. 166, hexagonal axes) and the conventional cell measures 4.9921, 4.9921 and 28.5918 Å, with angles of 90.00, 90.00 and 120.00 degrees. The inequivalent atoms are Li at (0.0000, 0.0000, 0.0894), Ac at (0.0000, 0.0000, 0.5000), Nd at (0.0000, 0.0000, 0.3704) and Tl at (0.0000, 0.0000, 0.2434).

---

[18]
VASP calculation (GGA-PBE) on LiAcNdTl after structural relaxation.

As for the total magnetization: 0.00 μB/atom. As for the electronic total energy: -3.46 eV/atom. The value obtained for the formation energy is -0.173 eV/atom. The density is 7.7 g/cm3. The excess energy over the best structure of this formula in the dataset comes out at 0.0000 eV per atom.

The space group is F-43m (No. 216) and the conventional cell measures 7.9550, 7.9550 and 7.9550 Å, with angles of 90.00, 90.00 and 90.00 degrees. The inequivalent atoms are Li at (0.0000, 0.0000, 0.0000), Ac at (0.2500, 0.2500, 0.2500), Nd at (0.2500, 0.2500, 0.7500) and Tl at (0.0000, 0.0000, 0.5000).

---

[19]
VASP calculation (GGA-PBE) on Li2AcNdTl4 after structural relaxation.

As for the total magnetization: 0.00 μB/atom. As for the electronic total energy: -3.09 eV/atom. The value obtained for the formation energy is -0.321 eV/atom. The density is 8.9 g/cm3.

The space group is R-3m (No. 166, hexagonal axes) and the conventional cell measures 5.3579, 5.3579 and 26.9487 Å, with angles of 90.00, 90.00 and 120.00 degrees. The inequivalent atoms are Li at (0.0000, 0.0000, 0.2468), Ac at (0.0000, 0.0000, 0.0000), Nd at (0.0000, 0.0000, 0.5000), Tl at (0.0000, 0.0000, 0.1267) and Tl at (0.0000, 0.0000, 0.3809).

---

[20]
VASP calculation (GGA-PBE) on LiAcNdTl2 after structural relaxation.

As for the total magnetization: 0.00 μB/atom. As for the electronic total energy: -3.30 eV/atom. The value obtained for the formation energy is -0.197 eV/atom. The density is 8.8 g/cm3.

The space group is Pmma (No. 51) and the conventional cell measures 6.1384, 7.1187 and 6.7777 Å, with angles of 90.00, 90.00 and 90.00 degrees. The inequivalent atoms are Li at (0.0000, 0.0000, 0.0000), Ac at (0.2500, 0.5000, 0.2551), Nd at (0.2500, 0.0000, 0.4068) and Tl at (0.2500, 0.2651, 0.7776).

---

[21]
VASP calculation (GGA-PBE) on Li2Ac2NdTl2 after structural relaxation.

As for the total magnetization: 0.04 μB/atom. As for the electronic total energy: -3.29 eV/atom. The value obtained for the formation energy is -0.208 eV/atom. The density is 7.9 g/cm3.

The space group is R-3m (No. 166, hexagonal axes) and the conventional cell measures 4.9981, 4.9981 and 29.6710 Å, with angles of 90.00, 90.00 and 120.00 degrees. The inequivalent atoms are Li at (0.0000, 0.0000, 0.1156), Ac at (0.0000, 0.0000, 0.3767), Nd at (0.0000, 0.0000, 0.5000) and Tl at (0.0000, 0.0000, 0.2277).

---

[22]
VASP calculation (GGA-PBE) on LiAcNdY after structural relaxation.

As for the total magnetization: 0.00 μB/atom. As for the electronic total energy: -4.08 eV/atom. The value obtained for the formation energy is 0.237 eV/atom. The density is 5.7 g/cm3.

The space group is F-43m (No. 216) and the conventional cell measures 8.1661, 8.1661 and 8.1661 Å, with angles of 90.00, 90.00 and 90.00 degrees. The inequivalent atoms are Li at (0.0000, 0.0000, 0.0000), Ac at (0.0000, 0.0000, 0.5000), Nd at (0.2500, 0.2500, 0.7500) and Y at (0.2500, 0.2500, 0.2500).

---

[23]
VASP calculation (GGA-PBE) on LiAcNdZn after structural relaxation.

As for the total magnetization: 0.00 μB/atom. As for the electronic total energy: -3.12 eV/atom. The value obtained for the formation energy is -0.104 eV/atom. The density is 6.4 g/cm3. The excess energy over the best structure of this formula in the dataset comes out at 0.0000 eV per atom.

The space group is P4mm (No. 99) and the conventional cell measures 3.8843, 3.8843 and 7.6533 Å, with angles of 90.00, 90.00 and 90.00 degrees. The inequivalent atoms are Li at (0.0000, 0.0000, 0.0000), Ac at (0.5000, 0.5000, 0.7135), Nd at (0.5000, 0.5000, 0.2470) and Zn at (0.0000, 0.0000, 0.4543).

---

[24]
VASP calculation (GGA-PBE) on LiAcNdZn after structural relaxation.

As for the total magnetization: 0.00 μB/atom. As for the electronic total energy: -3.09 eV/atom. The value obtained for the formation energy is -0.076 eV/atom. The density is 6.4 g/cm3. The excess energy over the best structure of this formula in the dataset comes out at 0.0278 eV per atom.

The space group is F-43m (No. 216) and the conventional cell measures 7.7024, 7.7024 and 7.7024 Å, with angles of 90.00, 90.00 and 90.00 degrees. The inequivalent atoms are Li at (0.0000, 0.0000, 0.0000), Ac at (0.2500, 0.2500, 0.7500), Nd at (0.2500, 0.2500, 0.2500) and Zn at (0.0000, 0.0000, 0.5000).